Record 1
{"formula": "TaMnZn", "functional": "PBE-GGA", "state": "relaxed", "sg": "I4mm (107)", "volume_a3_per_atom": 14.5, "lattice_angstrom": [[-2.8788, -3.0029, 2.5078], [-1.5659, -4.3175, -1.5813], [4.0305, 2.6758, 0.4338]], "species": ["Mn", "Ta", "Zn"], "frac_coords": [[0.9921, 0.9921, 0.0000], [0.3480, 0.3480, 0.0000], [0.6599, 0.6599, 0.0000]]}

Record 2
{"formula": "TaMnZn2", "functional": "PBE-GGA", "state": "relaxed", "sg": "Fm-3m (225)", "volume_a3_per_atom": 14.9, "lattice_angstrom": [[0.1734, -4.3198, 0.7103], [-0.4350, -1.5705, 4.0669], [-3.6277, -2.1817, 1.1294]], "species": ["Ta", "Zn", "Mn", "Zn"], "frac_coords": [[0.5000, 0.5000, 0.5000], [0.2500, 0.2500, 0.2500], [0.0000, 0.0000, 0.0000], [0.7500, 0.7500, 0.7500]]}

Record 3
{"formula": "TaMnZn3", "functional": "PBE-GGA", "state": "relaxed", "sg": "Pm-3m (221)", "volume_a3_per_atom": 17.5, "lattice_angstrom": [[4.4432, 0.0000, 0.0000], [0.0000, 4.4432, 0.0000], [0.0000, 0.0000, 4.4432]], "species": ["Ta", "Mn", "Zn", "Zn", "Zn"], "frac_coords": [[0.5000, 0.5000, 0.5000], [0.0000, 0.0000, 0.0000], [0.0000, 0.5000, 0.0000], [0.0000, 0.0000, 0.5000], [0.5000, 0.0000, 0.0000]]}

Record 4
{"formula": "TaMnZn2", "functional": "PBE-GGA", "state": "relaxed", "sg": "P4/mmm (123)", "volume_a3_per_atom": 15.0, "lattice_angstrom": [[2.8171, 0.0390, 0.0000], [-0.0389, 2.8171, 0.0000], [0.0000, 0.0000, 7.5720]], "species": ["Mn", "Zn", "Ta", "Zn"], "frac_coords": [[0.5000, 0.5000, 0.2500], [0.0000, 0.0000, 0.0176], [0.5000, 0.5000, 0.7500], [0.0000, 0.0000, 0.4824]]}

Record 5
{"formula": "TaMnZn2", "functional": "PBE-GGA", "state": "relaxed", "sg": "Pm (6)", "volume_a3_per_atom": 14.7, "lattice_angstrom": [[4.2021, 0.0000, 0.0000], [0.0000, 2.7669, -0.0123], [0.0000, 0.6451, 5.0649]], "species": ["Mn", "Ta", "Zn", "Zn"], "frac_coords": [[0.0000, 0.5050, 0.4880], [0.5000, 0.7164, 0.7537], [0.5000, 0.1328, 0.2620], [0.0000, 0.1458, 0.9963]]}

Record 6
{"formula": "TaMn3Zn", "functional": "PBE-GGA", "state": "relaxed", "sg": "Pm-3m (221)", "volume_a3_per_atom": 20.4, "lattice_angstrom": [[-0.6226, -4.4544, 1.2620], [4.5977, -0.7443, -0.3590], [0.5434, 1.1943, 4.4833]], "species": ["Ta", "Mn", "Mn", "Mn", "Zn"], "frac_coords": [[0.0000, 0.0000, 0.0000], [0.5000, 0.0000, 0.0000], [0.0000, 0.5000, 0.0000], [0.0000, 0.0000, 0.5000], [0.5000, 0.5000, 0.5000]]}

Record 7
{"formula": "TaMnZn2", "functional": "PBE-GGA", "state": "relaxed", "sg": "Immm (71)", "volume_a3_per_atom": 14.3, "lattice_angstrom": [[-0.6594, 4.1948, 2.7963], [-0.5070, 1.6815, 4.7714], [3.4515, 1.4614, 1.5935]], "species": ["Mn", "Zn", "Ta", "Zn"], "frac_coords": [[0.7500, 0.7500, 0.7500], [0.0122, 0.0122, 0.9879], [0.2500, 0.2500, 0.2500], [0.4878, 0.4878, 0.5121]]}

Record 8
{"formula": "TaMnZn3", "functional": "PBE-GGA", "state": "relaxed", "sg": "Pm-3m (221)", "volume_a3_per_atom": 24.8, "lattice_angstrom": [[-1.0629, 3.4873, -3.4026], [-3.1470, -3.1501, -2.2454], [-3.7196, 1.6687, 2.8721]], "species": ["Mn", "Ta", "Zn", "Zn", "Zn"], "frac_coords": [[0.5000, 0.5000, 0.5000], [0.0000, 0.0000, 0.0000], [0.5000, 0.0000, 0.0000], [0.0000, 0.0000, 0.5000], [0.0000, 0.5000, 0.0000]]}

| no. | distance to the lowest polymorph of the same formula (eV/atom) |
| --- | --- |
| 1 | 0.1284 |
| 2 | 0.1487 |
| 3 | 0.0000 |
| 4 | 0.0098 |
| 5 | 0.0570 |
| 6 | 0.2112 |
| 7 | 0.0251 |
| 8 | 0.2928 |